(1)
Computed, not measured: a relaxed structure of NaMgBiF6 at the PBE-GGA level of DFT.

The calculation puts the raw formation energy at -25.67 eV/f.u. As for the space group: No. 163. As for the density: 4.53 Mg/m³. The value obtained for the density of states at the Fermi level is 0.00 states/eV per cell.

Cell: 5.761 5.761 9.439 Å, 90.00 90.00 120.00°
Sites, in units of the cell vectors:
Na (0.000, 0.000, 0.000)
Na (0.000, 0.000, 0.500)
Mg (0.333, 0.667, 0.250)
Mg (0.667, 0.333, 0.750)
Bi (0.333, 0.667, 0.750)
Bi (0.667, 0.333, 0.250)
F (0.035, 0.372, 0.135)
F (0.035, 0.662, 0.365)
F (0.338, 0.372, 0.365)
F (0.338, 0.965, 0.135)
F (0.372, 0.035, 0.635)
F (0.372, 0.338, 0.865)
F (0.628, 0.662, 0.135)
F (0.628, 0.965, 0.365)
F (0.662, 0.035, 0.865)
F (0.662, 0.628, 0.635)
F (0.965, 0.338, 0.635)
F (0.965, 0.628, 0.865)

=====

(2)
Computed, not measured: a relaxed structure of MgNbBi2F at the PBE-GGA level of DFT.

The calculation puts the raw formation energy at 4.03 eV/f.u. As for the space group: No. 123. As for the density: 6.25 Mg/m³. The value obtained for the density of states at the Fermi level is 5.63 states/eV per cell.

Cell: 5.305 5.305 5.235 Å, 90.00 90.00 90.00°
Sites, in units of the cell vectors:
Mg (0.000, 0.000, 0.000)
Nb (0.000, 0.000, 0.500)
Bi (0.000, 0.500, 0.000)
Bi (0.500, 0.000, 0.000)
F (0.500, 0.500, 0.500)

=====

(3)
Computed, not measured: a relaxed structure of MgBi2OF at the PBE-GGA level of DFT.

The calculation puts the raw formation energy at -2.02 eV/f.u. As for the space group: No. 123. As for the density: 7.04 Mg/m³. The value obtained for the density of states at the Fermi level is 2.67 states/eV per cell.

Cell: 5.586 5.586 3.606 Å, 90.00 90.00 90.00°
Sites, in units of the cell vectors:
Mg (0.000, 0.000, 0.000)
Bi (0.000, 0.500, 0.000)
Bi (0.500, 0.000, 0.000)
O (0.500, 0.500, 0.500)
F (0.000, 0.000, 0.500)

=====

(4)
Computed, not measured: a relaxed structure of MgBiO2F at the PBE-GGA level of DFT.

The calculation puts the raw formation energy at -5.60 eV/f.u. As for the space group: No. 123. As for the density: 5.29 Mg/m³. The value obtained for the density of states at the Fermi level is 1.03 states/eV per cell.

Cell: 4.475 4.475 4.459 Å, 90.00 90.00 90.00°
Sites, in units of the cell vectors:
Mg (0.000, 0.000, 0.000)
Bi (0.500, 0.500, 0.500)
O (0.000, 0.500, 0.500)
O (0.500, 0.000, 0.500)
F (0.500, 0.500, 0.000)

=====

(5)
Computed, not measured: a relaxed structure of MgBiO2F at the PBE-GGA level of DFT.

The calculation puts the raw formation energy at -9.49 eV/f.u. As for the space group: No. 123. As for the density: 7.77 Mg/m³.

Cell: 4.048 4.048 3.709 Å, 90.00 90.00 90.00°
Sites, in units of the cell vectors:
Mg (0.000, 0.000, 0.000)
Bi (0.500, 0.500, 0.500)
O (0.000, 0.500, 0.000)
O (0.500, 0.000, 0.000)
F (0.000, 0.000, 0.500)

=====

(6)
Computed, not measured: a relaxed structure of RbMgBiF6 at the PBE-GGA level of DFT.

The calculation puts the raw formation energy at -25.92 eV/f.u. As for the space group: No. 74. As for the density: 4.68 Mg/m³. The value obtained for the density of states at the Fermi level is 0.00 states/eV per cell.

Cell: 7.533 7.533 7.533 Å, 120.99 116.46 92.27°
Sites, in units of the cell vectors:
Rb (0.335, 0.085, 0.250)
Rb (0.665, 0.915, 0.750)
Mg (0.000, 0.000, 0.500)
Mg (0.000, 0.500, 0.000)
Bi (0.000, 0.500, 0.500)
Bi (0.500, 0.500, 0.000)
F (0.048, 0.353, 0.171)
F (0.048, 0.877, 0.695)
F (0.052, 0.302, 0.750)
F (0.318, 0.123, 0.671)
F (0.318, 0.647, 0.195)
F (0.364, 0.614, 0.750)
F (0.636, 0.386, 0.250)
F (0.682, 0.353, 0.805)
F (0.682, 0.877, 0.329)
F (0.948, 0.698, 0.250)
F (0.952, 0.123, 0.305)
F (0.952, 0.647, 0.829)

=====

(7)
Computed, not measured: a relaxed structure of MgTl2BiF6 at the PBE-GGA level of DFT.

The calculation puts the raw formation energy at -22.88 eV/f.u. As for the space group: No. 59. As for the density: 7.15 Mg/m³. The value obtained for the density of states at the Fermi level is 1.44 states/eV per cell.

Cell: 5.864 8.696 6.891 Å, 90.00 90.00 90.00°
Sites, in units of the cell vectors:
Mg (0.250, 0.250, 0.250)
Mg (0.750, 0.750, 0.750)
Tl (0.250, 0.509, 0.749)
Tl (0.250, 0.991, 0.749)
Tl (0.750, 0.009, 0.251)
Tl (0.750, 0.491, 0.251)
Bi (0.250, 0.750, 0.249)
Bi (0.750, 0.250, 0.751)
F (0.006, 0.750, 0.549)
F (0.007, 0.750, 0.950)
F (0.250, 0.017, 0.250)
F (0.250, 0.483, 0.250)
F (0.493, 0.750, 0.950)
F (0.494, 0.750, 0.549)
F (0.506, 0.250, 0.451)
F (0.507, 0.250, 0.050)
F (0.750, 0.517, 0.750)
F (0.750, 0.983, 0.750)
F (0.993, 0.250, 0.050)
F (0.994, 0.250, 0.451)

=====

(8)
Computed, not measured: a relaxed structure of Mg2TlBiF at the PBE-GGA level of DFT.

The calculation puts the raw formation energy at -3.67 eV/f.u. As for the space group: No. 123. As for the density: 6.75 Mg/m³. The value obtained for the density of states at the Fermi level is 2.18 states/eV per cell.

Cell: 4.647 4.647 5.477 Å, 90.00 90.00 90.00°
Sites, in units of the cell vectors:
Mg (0.000, 0.500, 0.000)
Mg (0.500, 0.000, 0.000)
Tl (0.000, 0.000, 0.500)
Bi (0.500, 0.500, 0.500)
F (0.000, 0.000, 0.000)

=====

(9)
Computed, not measured: a relaxed structure of MgTlBiF6 at the PBE-GGA level of DFT.

The calculation puts the raw formation energy at -23.87 eV/f.u. As for the space group: No. 163. As for the density: 5.31 Mg/m³. The value obtained for the density of states at the Fermi level is 0.00 states/eV per cell.

Cell: 5.897 5.897 11.462 Å, 90.00 90.00 120.00°
Sites, in units of the cell vectors:
Mg (0.333, 0.667, 0.250)
Mg (0.667, 0.333, 0.750)
Tl (0.000, 0.000, 0.000)
Tl (0.000, 0.000, 0.500)
Bi (0.333, 0.667, 0.750)
Bi (0.667, 0.333, 0.250)
F (0.032, 0.397, 0.151)
F (0.032, 0.635, 0.349)
F (0.365, 0.397, 0.349)
F (0.365, 0.968, 0.151)
F (0.397, 0.032, 0.651)
F (0.397, 0.365, 0.849)
F (0.603, 0.635, 0.151)
F (0.603, 0.968, 0.349)
F (0.635, 0.032, 0.849)
F (0.635, 0.603, 0.651)
F (0.968, 0.365, 0.651)
F (0.968, 0.603, 0.849)

=====

(10)
Computed, not measured: a relaxed structure of Mg3Tl2BiF12 at the PBE-GGA level of DFT.

The calculation puts the raw formation energy at -49.23 eV/f.u. As for the space group: No. 166. As for the density: 6.07 Mg/m³. The value obtained for the density of states at the Fermi level is 5.67 states/eV per cell.

Cell: 6.750 6.750 6.750 Å, 67.25 67.25 67.25°
Sites, in units of the cell vectors:
Mg (0.000, 0.500, 0.500)
Mg (0.500, 0.000, 0.500)
Mg (0.500, 0.500, 0.000)
Tl (0.106, 0.106, 0.106)
Tl (0.894, 0.894, 0.894)
Bi (0.500, 0.500, 0.500)
F (0.079, 0.651, 0.651)
F (0.244, 0.244, 0.604)
F (0.244, 0.604, 0.244)
F (0.349, 0.349, 0.921)
F (0.349, 0.921, 0.349)
F (0.396, 0.756, 0.756)
F (0.604, 0.244, 0.244)
F (0.651, 0.079, 0.651)
F (0.651, 0.651, 0.079)
F (0.756, 0.396, 0.756)
F (0.756, 0.756, 0.396)
F (0.921, 0.349, 0.349)

=====

(11)
Computed, not measured: a relaxed structure of MgZnBiF2 at the PBE-GGA level of DFT.

The calculation puts the raw formation energy at -5.17 eV/f.u. As for the space group: No. 123. As for the density: 4.62 Mg/m³. The value obtained for the density of states at the Fermi level is 2.24 states/eV per cell.

Cell: 3.985 3.985 7.619 Å, 90.00 90.00 90.00°
Sites, in units of the cell vectors:
Mg (0.000, 0.000, 0.000)
Zn (0.000, 0.000, 0.500)
Bi (0.500, 0.500, 0.000)
F (0.000, 0.500, 0.500)
F (0.500, 0.000, 0.500)